No. 1
# Al2MoH6

A geometry-optimized Al2MoH6 structure (PBE, Alexandria via LeMat-Bulk).

Structure (CIF):
```
data_Al2MoH6
_chemical_formula_sum 'Al4 Mo2 H12'
_cell_length_a 4.5721
_cell_length_b 4.6602
_cell_length_c 7.8656
_cell_angle_alpha 90.00
_cell_angle_beta 125.07
_cell_angle_gamma 90.00
_space_group_name_H-M_alt 'P 1 21/c 1'
_space_group_IT_number 14
loop_
_space_group_symop_operation_xyz
'x,y,z'
'-x,-y,-z'
'-x,y+1/2,-z+1/2'
'x,-y+1/2,z+1/2'
loop_
_atom_site_label
_atom_site_fract_x
_atom_site_fract_y
_atom_site_fract_z
_atom_site_occupancy
Al1 0.2491 0.0183 0.2508 1
Mo1 0.5000 0.0000 0.0000 1
H1 0.1445 0.0282 0.7315 1
H2 0.2182 0.7079 0.5402 1
H3 0.3357 0.1762 0.5364 1
```

Calculated values
Total DFT energy (no corrections) ... -4.268 eV per atom
Polymorph energy (0 for the lowest one) ... 0.0 meV/atom
Mass density ... 3.776 g/cm³

---

No. 2
# AlMo3H

A geometry-optimized AlMo3H structure (PBE, Alexandria via LeMat-Bulk).

Structure (CIF):
```
data_AlMo3H
_chemical_formula_sum 'Al1 Mo3 H1'
_cell_length_a 4.0197
_cell_length_b 4.0197
_cell_length_c 4.0197
_cell_angle_alpha 90.00
_cell_angle_beta 90.00
_cell_angle_gamma 90.00
_space_group_name_H-M_alt 'P m -3 m'
_space_group_IT_number 221
_space_group_name_Hall '-P 4 2 3'
loop_
_atom_site_label
_atom_site_fract_x
_atom_site_fract_y
_atom_site_fract_z
_atom_site_occupancy
Al1 0.0000 0.0000 0.0000 1
Mo1 0.0000 0.5000 0.5000 1
H1 0.5000 0.5000 0.5000 1
```

Calculated values
Total DFT energy (no corrections) ... -7.855 eV per atom
Polymorph energy (0 for the lowest one) ... 0.0 meV/atom
Mass density ... 8.074 g/cm³

---

No. 3
# AlMo2H2

A geometry-optimized AlMo2H2 structure (PBE, Alexandria via LeMat-Bulk).

Structure (CIF):
```
data_AlMo2H2
_chemical_formula_sum 'Al2 Mo4 H4'
_cell_length_a 3.1413
_cell_length_b 3.1413
_cell_length_c 10.4681
_cell_angle_alpha 90.00
_cell_angle_beta 90.00
_cell_angle_gamma 90.00
_space_group_name_H-M_alt 'I 4/m m m'
_space_group_IT_number 139
_space_group_name_Hall '-I 4 2'
loop_
_atom_site_label
_atom_site_fract_x
_atom_site_fract_y
_atom_site_fract_z
_atom_site_occupancy
Al1 0.0000 0.0000 0.0000 1
Mo1 0.0000 0.0000 0.3462 1
H1 0.0000 0.5000 0.2500 1
```

Calculated values
Total DFT energy (no corrections) ... -6.488 eV per atom
Mass density ... 7.101 g/cm³

---

The highest total DFT energy (no corrections) belongs to which entry?
Al2MoH6